This record from Alexandria describes a geometry-optimized Ca2GaSn2 structure. The functional is PBE.

Cell lengths 11.653, 4.700, 11.039 Å; angles 90.00, 114.98, 90.00 degrees
Space group C2/m (No. 12)
One atom of each set of equivalent atoms:
Ca 0.008 0.000 0.175 [4 per cell]
Ca 0.178 0.000 0.610 [4 per cell]
Ga 0.193 0.500 0.834 [4 per cell]
Sn 0.043 0.500 0.391 [4 per cell]
Sn 0.154 0.500 0.069 [4 per cell]

formation energy	-530.3	meV/atom
total magnetic moment	0.00	μB/f.u.